YHf3Mn (PBE, relaxed); magnetization = 0.000 μB per atom; ρ = 9.6 g cm⁻³; ΔH_f (0 K) = 0.242 eV/atom; relative energy among the computed polymorphs = 0.000 eV per atom; total DFT energy (no corrections) = -8.856 eV/atom
1.0
4.899 0.000 0.000
0.000 4.899 0.000
0.000 0.000 4.899
Y Hf Mn
1 3 1
direct
0.000 0.000 0.000
0.000 0.500 0.500
0.500 0.000 0.500
0.500 0.500 0.000
0.500 0.500 0.500

=====

K2Rb3Cl4 (PBE, relaxed); magnetization = 0.002 μB per atom; ρ = 2.2 g cm⁻³; ΔE_f (raw) = -1.69 eV/atom; total DFT energy (no corrections) = -3.081 eV/atom
1.0
7.916 -2.332 0.000
7.916 2.332 0.000
-6.062 0.000 9.950
K Rb Cl
2 3 4
direct
0.107 0.107 0.392
0.893 0.893 0.608
0.304 0.304 0.205
0.500 0.500 0.000
0.696 0.696 0.795
0.097 0.097 0.898
0.298 0.298 0.691
0.702 0.702 0.309
0.903 0.903 0.102